(1)
Co2AgPd | the Alexandria database | PBE | optimized geometry; space-group type = I-42d (122); N(E_F) = 7.09 states/eV/f.u.; energy relative to the elements = 684 meV/atom; M_tot = 17.02 μB/cell
1.0
6.8954 0.0000 0.0000
0.0000 6.8954 0.0000
0.0000 0.0000 5.2073
Co Ag Pd
8 4 4
Cartesian
1.6265 1.7238 0.6509
1.7238 5.0742 1.9527
1.7238 5.2688 4.5564
1.8212 1.7238 3.2546
5.0742 5.1715 3.2546
5.1715 1.6265 4.5564
5.1715 1.8212 1.9527
5.2688 5.1715 0.6509
0.0000 0.0000 2.6037
0.0000 3.4477 3.9055
3.4477 0.0000 1.3018
3.4477 3.4477 0.0000
0.0000 0.0000 0.0000
0.0000 3.4477 1.3018
3.4477 0.0000 3.9055
3.4477 3.4477 2.6037

(2)
SmAlCo2C | the Alexandria database | PBE | optimized geometry; space-group type = Cmcm (63); N(E_F) = 3.05 states/eV/f.u.; energy relative to the elements = -345 meV/atom; M_tot = 0.00 μB/cell
1.0
1.9572 -5.3398 0.0000
1.9572 5.3398 0.0000
0.0000 0.0000 6.8677
Sm Al Co C
2 2 4 2
Cartesian
1.9572 4.7469 5.1507
1.9572 -4.7469 1.7169
1.9572 2.9348 1.7169
1.9572 -2.9348 5.1507
1.9572 1.7100 3.8508
1.9572 1.7100 6.4507
1.9572 -1.7100 0.4170
1.9572 -1.7100 3.0169
1.9572 0.0000 0.0000
1.9572 0.0000 3.4338

- Which of these has the highest energy relative to the elements?
  Co2AgPd

- Which of these has the highest N(E_F)?
  Co2AgPd